The following is a GGA-PBEsol calculation of crystalline CaTlCd2 at its relaxed geometry, from the Alexandria database.

POSCAR file:
```
CaTlCd2
1.0
3.887 0.000 0.000
0.000 3.887 0.000
0.000 0.000 6.660
Ca Cd Tl
1 2 1
Direct
0.500 0.500 0.500 Ca
0.000 0.000 0.243 Cd
0.000 0.000 0.757 Cd
0.500 0.500 0.000 Tl
```

## Properties
Final energy (eV/atom): -1.988
Polymorph energy (0 for the lowest one) (eV per atom): 0.065
DOS(E_F) (states/eV per atom): 0.4696
V (Å³/cell): 100.6
Size of the total moment (μB/f.u.): 0.000
Space-group type: P4/mmm (123)